An optimized crystal structure of Ga8Ir2Au. Source: Alexandria via LeMat-Bulk, functional PBE-GGA.

Unit cell a=5.048 b=6.692 c=6.692 alpha=63.62 beta=98.42 gamma=98.42
Fractional positions:
Ga  0.608  0.618  0.178
Ga  0.608  0.178  0.618
Ga  0.179  0.797  0.797
Ga  0.392  0.382  0.822
Ga  0.821  0.203  0.203
Ga  0.845  0.577  0.577
Ga  0.392  0.822  0.382
Ga  0.155  0.423  0.423
Au  0.000  0.000  0.000
Ir  0.336  0.230  0.230
Ir  0.664  0.770  0.770



An optimized crystal structure of GaIrAu. Source: Alexandria via LeMat-Bulk, functional PBE-GGA.

Unit cell a=3.051 b=3.051 c=5.546 alpha=105.97 beta=105.97 gamma=90.00
Fractional positions:
Ga  0.681  0.681  0.361
Au  0.008  0.008  0.016
Ir  0.312  0.312  0.623

The calculation puts the distance to the lowest polymorph of the same formula at 0.000 eV/atom.



Number 1: E_form -0.20 eV/atom, spin magnetization 0.00 μB per cell. Number 2: E_form -0.07 eV/atom, spin magnetization 0.00 μB per cell.